No. 1
LaEuDyAl, relaxed, DFT PBE-GGA; space group = F-43m, No. 216; VASP energy = -23.75 eV for the cell shown
1.0
0.000 3.896 3.896
3.896 0.000 3.896
3.896 3.896 0.000
La Eu Dy Al
1 1 1 1
direct
0.000 0.000 0.000
0.750 0.750 0.750
0.500 0.500 0.500
0.250 0.250 0.250



No. 2
LiEuDyAl, relaxed, DFT PBE-GGA; space group = F-43m, No. 216; VASP energy = -21.00 eV for the cell shown
1.0
0.000 3.741 3.741
3.741 0.000 3.741
3.741 3.741 0.000
Li Eu Dy Al
1 1 1 1
direct
0.000 0.000 0.000
0.250 0.250 0.250
0.750 0.750 0.750
0.500 0.500 0.500



No. 3
EuDyLuAl, relaxed, DFT PBE-GGA; space group = F-43m, No. 216; VASP energy = -23.17 eV for the cell shown
1.0
0.000 3.791 3.791
3.791 0.000 3.791
3.791 3.791 0.000
Eu Dy Lu Al
1 1 1 1
direct
0.000 0.000 0.000
0.750 0.750 0.750
0.250 0.250 0.250
0.500 0.500 0.500